This record from the Alexandria database describes crystalline Ho2AgAu at its relaxed geometry. The functional is PBE.

a = 7.1958 Å, b = 7.1958 Å, c = 7.1958 Å
α = 90.00°, β = 90.00°, γ = 90.00°
Space group Fm-3m (No. 225)
Asymmetric unit:
Ho: 0.2500 0.2500 0.2500
Ag: 0.0000 0.0000 0.0000
Au: 0.0000 0.0000 0.5000

N(E_F) in states/eV/atom: 0.276
Total magnetic moment in μB per formula unit: 0.00
Formation enthalpy at 0 K in eV per atom: -0.5993

***

This record from the Alexandria database describes crystalline PmPr6Ho4 at its relaxed geometry. The functional is PBE.

a = 11.1566 Å, b = 11.1566 Å, c = 3.6015 Å
α = 90.00°, β = 90.00°, γ = 120.00°
Space group P-6m2 (No. 187)
Asymmetric unit:
Pm: 0.0000 0.0000 0.0000
Pr: 0.0523 0.5262 0.0000
Pr: 0.3648 0.1824 0.5000
Ho: 0.1599 0.3198 0.5000
Ho: 0.6667 0.3333 0.0000

N(E_F) in states/eV/atom: 1.430
Total magnetic moment in μB per formula unit: 0.00
Formation enthalpy at 0 K in eV per atom: 0.1454
Relative energy among the computed polymorphs in kJ/mol of atoms: 0.0

***

This record from the Alexandria database describes crystalline NpPaSe2N at its relaxed geometry. The functional is PBE.

a = 3.9720 Å, b = 3.9720 Å, c = 14.1480 Å
α = 90.00°, β = 90.00°, γ = 90.00°
Space group P4/nmm (No. 129, origin choice 2)
Asymmetric unit:
Np: 0.2500 0.2500 0.1080
Pa: 0.2500 0.2500 0.5831
Se: 0.2500 0.2500 0.3124
Se: 0.2500 0.2500 0.8991
N: 0.2500 0.7500 0.5000

N(E_F) in states/eV/atom: 2.343
Total magnetic moment in μB per formula unit: 4.85
E_form (uncorrected) in eV/atom: -1.454

***

This record from the Alexandria database describes crystalline HoHfTl2 at its relaxed geometry. The functional is PBE.

a = 4.7784 Å, b = 4.7784 Å, c = 4.3083 Å
α = 90.00°, β = 90.00°, γ = 90.00°
Space group P4/mmm (No. 123)
Asymmetric unit:
Ho: 0.0000 0.0000 0.0000
Hf: 0.5000 0.5000 0.0000
Tl: 0.0000 0.5000 0.5000

N(E_F) in states/eV/atom: 1.094
Total magnetic moment in μB per formula unit: 0.00
Formation enthalpy at 0 K in eV per atom: -0.0266
Relative energy among the computed polymorphs in kJ/mol of atoms: 3.3